1.
The following is a DFT calculation (PBE) of a geometry-optimized ZnCuHg2 structure.

The structure in POSCAR format:
```
ZnCuHg2
1.0
2.9972 0.0000 0.0000
0.0000 2.9972 0.0000
0.0000 0.0000 8.5521
Zn Cu Hg
1 1 2
Direct
0.0000 0.0000 0.0000
0.5000 0.5000 0.1686
0.0000 0.0000 0.4028
0.5000 0.5000 0.7277
```

Summary:
SG: P4mm (99)
Spin magnetization, μB per cell: 0.00
Density of states at the Fermi level, states/eV per cell: 1.01
Uncorrected energy, eV/cell: -5.4

---

2.
The following is a DFT calculation (PBE) of a geometry-optimized Zn2CuHg structure.

The structure in POSCAR format:
```
Zn2CuHg
1.0
4.0474 0.0000 0.0000
0.0000 4.0474 0.0000
0.0000 0.0000 7.8336
Zn Cu Hg
4 2 2
Direct
0.0000 0.5000 0.2500
0.0000 0.5000 0.7500
0.5000 0.0000 0.2500
0.5000 0.0000 0.7500
0.0000 0.0000 0.0000
0.5000 0.5000 0.5000
0.0000 0.0000 0.5000
0.5000 0.5000 0.0000
```

Summary:
SG: I4/mmm (139)
Spin magnetization, μB per cell: 0.00
Density of states at the Fermi level, states/eV per cell: 2.17
Uncorrected energy, eV/cell: -12.9